No. 1
# TaSbRu4 meta-GGA SCAN PBEsol geometry
# Energy: -40.231 eV/atom
# DOS at the Fermi energy: 1.373 states/eV/atom
# Mass density: 12.58 g/cm3
data_TaSbRu4
_symmetry_space_group_name_H-M 'F -4 3 m'
_symmetry_Int_Tables_number 216
_symmetry_space_group_name_Hall 'F -4 2 3'
_cell_length_a 7.201
_cell_length_b 7.201
_cell_length_c 7.201
_cell_angle_alpha 90.00
_cell_angle_beta 90.00
_cell_angle_gamma 90.00
loop_
_atom_site_label
_atom_site_type_symbol
_atom_site_fract_x
_atom_site_fract_y
_atom_site_fract_z
_atom_site_occupancy
Ta1 Ta 0.000 0.000 0.000 1
Sb1 Sb 0.250 0.250 0.750 1
Ru1 Ru 0.125 0.125 0.375 1

=====

No. 2
# TaSbRu meta-GGA SCAN PBEsol geometry
# Energy: -46.191 eV/atom
# DOS at the Fermi energy: 0.780 states/eV/atom
# Mass density: 12.53 g/cm3
data_TaSbRu
_symmetry_space_group_name_H-M 'I 4 m m'
_symmetry_Int_Tables_number 107
_symmetry_space_group_name_Hall 'I 4 -2'
_cell_length_a 3.106
_cell_length_b 3.106
_cell_length_c 11.099
_cell_angle_alpha 90.00
_cell_angle_beta 90.00
_cell_angle_gamma 90.00
loop_
_atom_site_label
_atom_site_type_symbol
_atom_site_fract_x
_atom_site_fract_y
_atom_site_fract_z
_atom_site_occupancy
Ta1 Ta 0.000 0.000 0.000 1
Sb1 Sb 0.000 0.000 0.692 1
Ru1 Ru 0.000 0.000 0.370 1

=====

No. 3
# TaSbTe2Ru meta-GGA SCAN PBEsol geometry
# Energy: -41.472 eV/atom
# DOS at the Fermi energy: 0.704 states/eV/atom
# Mass density: 7.53 g/cm3
data_TaSbTe2Ru
_symmetry_space_group_name_H-M 'P 4/m m m'
_symmetry_Int_Tables_number 123
_symmetry_space_group_name_Hall '-P 4 2'
_cell_length_a 5.238
_cell_length_b 5.238
_cell_length_c 5.295
_cell_angle_alpha 90.00
_cell_angle_beta 90.00
_cell_angle_gamma 90.00
loop_
_atom_site_label
_atom_site_type_symbol
_atom_site_fract_x
_atom_site_fract_y
_atom_site_fract_z
_atom_site_occupancy
Ta1 Ta 0.000 0.000 0.000 1
Sb1 Sb 0.000 0.000 0.500 1
Te1 Te 0.000 0.500 0.000 1
Ru1 Ru 0.500 0.500 0.500 1

=====

No. 4
# Tc2SbRu meta-GGA SCAN PBEsol geometry
# Energy: -35.294 eV/atom
# DOS at the Fermi energy: 0.936 states/eV/atom
# Mass density: 11.48 g/cm3
data_Tc2SbRu
_symmetry_space_group_name_H-M 'I m m 2'
_symmetry_Int_Tables_number 44
_cell_length_a 3.068
_cell_length_b 4.459
_cell_length_c 8.855
_cell_angle_alpha 90.00
_cell_angle_beta 90.00
_cell_angle_gamma 90.00
loop_
_symmetry_equiv_pos_as_xyz
'x,y,z'
'-x,-y,z'
'-x,y,z'
'x,-y,z'
'x+1/2,y+1/2,z+1/2'
'-x+1/2,-y+1/2,z+1/2'
'-x+1/2,y+1/2,z+1/2'
'x+1/2,-y+1/2,z+1/2'
loop_
_atom_site_label
_atom_site_type_symbol
_atom_site_fract_x
_atom_site_fract_y
_atom_site_fract_z
_atom_site_occupancy
Tc1 Tc 0.000 0.000 0.000 1
Tc2 Tc 0.000 0.500 0.244 1
Sb1 Sb 0.000 0.000 0.504 1
Ru1 Ru 0.000 0.500 0.772 1

=====

No. 5
# TcSb2Ru meta-GGA SCAN PBEsol geometry
# DOS at the Fermi energy: 0.429 states/eV/atom
# Polymorph energy (0 for the lowest one): 39.6 meV per atom
# Mass density: 10.97 g/cm3
data_TcSb2Ru
_symmetry_space_group_name_H-M 'P 4/m m m'
_symmetry_Int_Tables_number 123
_symmetry_space_group_name_Hall '-P 4 2'
_cell_length_a 3.234
_cell_length_b 3.234
_cell_length_c 6.406
_cell_angle_alpha 90.00
_cell_angle_beta 90.00
_cell_angle_gamma 90.00
loop_
_atom_site_label
_atom_site_type_symbol
_atom_site_fract_x
_atom_site_fract_y
_atom_site_fract_z
_atom_site_occupancy
Tc1 Tc 0.000 0.000 0.000 1
Sb1 Sb 0.500 0.500 0.248 1
Ru1 Ru 0.000 0.000 0.500 1

=====

No. 6
# TcSb2Ru meta-GGA SCAN PBEsol geometry
# DOS at the Fermi energy: 0.403 states/eV/atom
# Polymorph energy (0 for the lowest one): 49.4 meV per atom
# Mass density: 10.94 g/cm3
data_TcSb2Ru
_symmetry_space_group_name_H-M 'F m -3 m'
_symmetry_Int_Tables_number 225
_symmetry_space_group_name_Hall '-F 4 2 3'
_cell_length_a 6.453
_cell_length_b 6.453
_cell_length_c 6.453
_cell_angle_alpha 90.00
_cell_angle_beta 90.00
_cell_angle_gamma 90.00
loop_
_atom_site_label
_atom_site_type_symbol
_atom_site_fract_x
_atom_site_fract_y
_atom_site_fract_z
_atom_site_occupancy
Tc1 Tc 0.000 0.000 0.000 1
Sb1 Sb 0.250 0.250 0.250 1
Ru1 Ru 0.000 0.000 0.500 1

=====

No. 7
# Tc2SbRu meta-GGA SCAN PBEsol geometry
# Energy: -35.174 eV/atom
# DOS at the Fermi energy: 1.399 states/eV/atom
# Mass density: 11.39 g/cm3
data_Tc2SbRu
_symmetry_space_group_name_H-M 'P 4/m m m'
_symmetry_Int_Tables_number 123
_symmetry_space_group_name_Hall '-P 4 2'
_cell_length_a 3.721
_cell_length_b 3.721
_cell_length_c 4.409
_cell_angle_alpha 90.00
_cell_angle_beta 90.00
_cell_angle_gamma 90.00
loop_
_atom_site_label
_atom_site_type_symbol
_atom_site_fract_x
_atom_site_fract_y
_atom_site_fract_z
_atom_site_occupancy
Tc1 Tc 0.000 0.500 0.000 1
Sb1 Sb 0.000 0.000 0.500 1
Ru1 Ru 0.500 0.500 0.500 1

=====

No. 8
# TcSb2Ru meta-GGA SCAN PBEsol geometry
# DOS at the Fermi energy: 0.588 states/eV/atom
# Polymorph energy (0 for the lowest one): 0.0 meV per atom
# Mass density: 10.74 g/cm3
data_TcSb2Ru
_symmetry_space_group_name_H-M 'C 1 m 1'
_symmetry_Int_Tables_number 8
_cell_length_a 9.523
_cell_length_b 3.231
_cell_length_c 4.566
_cell_angle_alpha 90.00
_cell_angle_beta 103.09
_cell_angle_gamma 90.00
loop_
_symmetry_equiv_pos_as_xyz
'x,y,z'
'x,-y,z'
'x+1/2,y+1/2,z'
'x+1/2,-y+1/2,z'
loop_
_atom_site_label
_atom_site_type_symbol
_atom_site_fract_x
_atom_site_fract_y
_atom_site_fract_z
_atom_site_occupancy
Tc1 Tc 0.000 0.000 0.000 1
Sb1 Sb 0.233 0.500 0.097 1
Sb2 Sb 0.491 0.000 0.492 1
Ru1 Ru 0.226 0.000 0.594 1

=====

Number 1: V 15.56 Å³/atom. Number 2: V 17.84 Å³/atom. Number 3: V 29.06 Å³/atom. Number 4: V 15.14 Å³/atom. Number 5: V 16.75 Å³/atom. Number 6: V 16.80 Å³/atom. Number 7: V 15.26 Å³/atom. Number 8: V 17.11 Å³/atom.